Entry 1:
Material: Zn2CdP
Method: DFT, PBE
State: relaxed

a b c (Å): 4.6694 4.6694 4.6694
angles (deg): 60.00 60.00 60.00
Last column: nearest neighbours and their distance in Å.
Fractional coordinates of all 4 atoms:
Zn 0.2500 0.2500 0.2500  4 Cd 2.86, 4 P 2.86
Zn 0.7500 0.7500 0.7500  4 Cd 2.86, 4 P 2.86
Cd 0.0000 0.0000 0.0000  8 Zn 2.86
P 0.5000 0.5000 0.5000  8 Zn 2.86

E_form in kJ/mol of atoms: 30.2
Symmetry: No. 225
Uncorrected energy in eV per atom: -1.90
Fermi-level density of states in states/eV per atom: 0.6255



Entry 2:
Material: Zn2CdP
Method: DFT, PBE
State: relaxed

a b c (Å): 2.7012 3.6623 7.4650
angles (deg): 90.00 90.00 90.00
Last column: nearest neighbours and their distance in Å.
Fractional coordinates of all 4 atoms:
Zn 0.0000 0.0000 0.2287  2 P 2.50, 2 Zn 2.70
Zn 0.0000 0.0000 0.7713  2 P 2.50, 2 Zn 2.70
Cd 0.5000 0.5000 0.5000  2 Cd 2.70
P 0.0000 0.5000 0.0000  4 Zn 2.50, 2 P 2.70

E_form in kJ/mol of atoms: 14.2
Symmetry: No. 47
Uncorrected energy in eV per atom: -2.07
Fermi-level density of states in states/eV per atom: 0.2122